Record 1
This record from Alexandria via LeMat-Bulk describes a relaxed structure of DyZrTe2. The functional is GGA-PBE.

Cell: 3.6522 3.6522 7.3865 Å, 90.00 90.00 90.00°
Last column: nearest neighbours and their distance in Å.
Sites, in units of the cell vectors:
Te 0.0000 0.0000 0.2354  4 Zr 3.11, 4 Dy 3.24, 1 Te 3.48
Te 0.0000 0.0000 0.7646  4 Zr 3.11, 4 Dy 3.24, 1 Te 3.48
Dy 0.5000 0.5000 0.5000  8 Te 3.24
Zr 0.5000 0.5000 0.0000  8 Te 3.11

Output
**DOS(E_F)**: 0.667 states/eV per atom
**Symmetry**: P4/mmm (123)
**Crystal system**: tetragonal
**E_form (uncorrected)**: -0.941 eV per atom
**Energy above the lowest structure with this stoichiometry**: 0.0 meV per atom

Record 2
This record from Alexandria via LeMat-Bulk describes a relaxed structure of DyZr3Te6. The functional is GGA-PBE.

Cell: 4.0337 11.9287 12.4923 Å, 109.22 90.00 90.00°
Last column: nearest neighbours and their distance in Å.
Sites, in units of the cell vectors:
Te 0.2500 0.1070 0.8986  3 Zr 2.88-2.89, 2 Dy 3.10
Te 0.7500 0.1216 0.4711  2 Zr 3.06, 3 Dy 3.16-3.22
Te 0.7500 0.4862 0.6242  4 Zr 2.96-3.24
Te 0.7500 0.8111 0.7538  3 Zr 2.89-2.92, 1 Dy 3.17
Te 0.2500 0.1889 0.2462  3 Zr 2.89-2.92, 1 Dy 3.17
Te 0.2500 0.2756 0.7175  3 Zr 3.02-3.09, 2 Dy 3.29
Te 0.2500 0.8784 0.5289  2 Zr 3.06, 3 Dy 3.16-3.22
Te 0.2500 0.5138 0.3758  4 Zr 2.96-3.24
Te 0.7500 0.3754 0.0727  4 Zr 2.87-3.02
Te 0.2500 0.6246 0.9273  4 Zr 2.87-3.02
Te 0.7500 0.7244 0.2825  3 Zr 3.02-3.09, 2 Dy 3.29
Te 0.7500 0.8930 0.1014  3 Zr 2.88-2.89, 2 Dy 3.10
Zr 0.2500 0.5570 0.1328  5 Te 2.87-3.02
Zr 0.7500 0.6810 0.5132  7 Te 2.89-3.09
Zr 0.7500 0.1203 0.0679  6 Te 2.88-3.02
Zr 0.2500 0.8797 0.9321  6 Te 2.88-3.02
Zr 0.2500 0.3190 0.4868  7 Te 2.89-3.09
Zr 0.7500 0.4430 0.8672  5 Te 2.87-3.02
Dy 0.7500 0.0524 0.6992  8 Te 3.10-3.29
Dy 0.2500 0.9476 0.3008  8 Te 3.10-3.29

Output
**DOS(E_F)**: 0.747 states/eV per atom
**Symmetry**: P2_1/m (11)
**Crystal system**: monoclinic
**E_form (uncorrected)**: -0.928 eV per atom

Record 3
This record from Alexandria via LeMat-Bulk describes a relaxed structure of DyZr2Te4. The functional is GGA-PBE.

Cell: 3.9968 7.0454 14.8582 Å, 90.00 90.00 106.48°
Last column: nearest neighbours and their distance in Å.
Sites, in units of the cell vectors:
Dy 0.5993 0.1987 0.7500  6 Te 3.02-3.09
Dy 0.4007 0.8013 0.2500  6 Te 3.02-3.09
Te 0.2092 0.4184 0.6268  3 Zr 2.86-2.91, 2 Dy 3.09
Te 0.5000 0.0000 0.5000  4 Zr 3.01
Te 0.5000 0.0000 0.0000  4 Zr 3.01
Te 0.9315 0.8631 0.7500  2 Dy 3.02, 2 Zr 3.06
Te 0.7908 0.5816 0.3732  3 Zr 2.86-2.91, 2 Dy 3.09
Te 0.2092 0.4184 0.8732  3 Zr 2.86-2.91, 2 Dy 3.09
Te 0.0685 0.1369 0.2500  2 Dy 3.02, 2 Zr 3.06
Te 0.7908 0.5816 0.1268  3 Zr 2.86-2.91, 2 Dy 3.09
Zr 0.8464 0.6928 0.5589  6 Te 2.86-3.06
Zr 0.8464 0.6928 0.9410  6 Te 2.86-3.06
Zr 0.1536 0.3072 0.4410  6 Te 2.86-3.06
Zr 0.1536 0.3072 0.0590  6 Te 2.86-3.06

Output
**DOS(E_F)**: 0.737 states/eV per atom
**Symmetry**: Cmcm (63)
**Crystal system**: orthorhombic
**E_form (uncorrected)**: -0.911 eV per atom

Record 4
This record from Alexandria via LeMat-Bulk describes a relaxed structure of Dy5Th. The functional is GGA-PBE.

Cell: 3.5498 3.5498 15.0888 Å, 90.00 90.00 90.00°
Last column: nearest neighbours and their distance in Å.
Sites, in units of the cell vectors:
Dy 0.5000 0.5000 0.8343  12 Dy 3.54-3.60
Dy 0.5000 0.5000 0.1657  12 Dy 3.54-3.60
Dy 0.0000 0.0000 0.0000  12 Dy 3.54-3.55
Dy 0.0000 0.0000 0.6630  4 Th 3.51, 8 Dy 3.55-3.60
Dy 0.0000 0.0000 0.3370  4 Th 3.51, 8 Dy 3.55-3.60
Th 0.5000 0.5000 0.5000  8 Dy 3.51, 4 Th 3.55

Output
**DOS(E_F)**: 1.360 states/eV per atom
**ΔE_f**: 0.14 eV/f.u.
**Symmetry**: P4/mmm (123)
**Crystal system**: tetragonal
**Energy above the lowest structure with this stoichiometry**: 0.0 meV per atom

Record 5
This record from Alexandria via LeMat-Bulk describes a relaxed structure of Dy5Th2. The functional is GGA-PBE.

Cell: 5.5293 5.5293 8.6270 Å, 96.78 104.10 115.83°
Last column: nearest neighbours and their distance in Å.
Sites, in units of the cell vectors:
Th 0.4268 0.2116 0.1383  9 Dy 3.45-3.67, 1 Th 3.62
Th 0.5732 0.7884 0.8617  9 Dy 3.45-3.67, 1 Th 3.62
Dy 0.1443 0.0695 0.7137  6 Dy 3.44-3.69, 4 Th 3.45-3.49
Dy 0.2878 0.6388 0.4266  8 Dy 3.41-3.69, 2 Th 3.54-3.67
Dy 0.7122 0.3612 0.5734  8 Dy 3.41-3.69, 2 Th 3.54-3.67
Dy 0.8557 0.9305 0.2863  6 Dy 3.44-3.69, 4 Th 3.45-3.49
Dy 0.0000 0.5000 0.0000  6 Th 3.45, 4 Dy 3.48-3.69

Output
**DOS(E_F)**: 1.933 states/eV per atom
**ΔE_f**: 0.93 eV/f.u.
**Symmetry**: C2/m (12)
**Crystal system**: monoclinic

Record 6
This record from Alexandria via LeMat-Bulk describes a relaxed structure of Dy7Th5. The functional is GGA-PBE.

Cell: 3.5988 9.4646 12.0372 Å, 73.67 81.40 79.04°
Last column: nearest neighbours and their distance in Å.
Sites, in units of the cell vectors:
Dy 0.0277 0.6951 0.2495  8 Dy 3.51-3.60, 4 Th 3.53-3.63
Dy 0.6647 0.6679 0.0028  7 Dy 3.51-3.62, 5 Th 3.57-3.60
Dy 0.5000 0.5000 0.5000  6 Th 3.53-3.61, 6 Dy 3.55-3.60
Dy 0.9723 0.3049 0.7505  8 Dy 3.51-3.60, 4 Th 3.53-3.63
Dy 0.6389 0.9716 0.7507  7 Th 3.52-3.55, 5 Dy 3.54-3.60
Dy 0.3611 0.0284 0.2493  7 Th 3.52-3.55, 5 Dy 3.54-3.60
Dy 0.3353 0.3321 0.9972  7 Dy 3.51-3.62, 5 Th 3.57-3.60
Th 0.6958 0.3545 0.2538  4 Th 3.50-3.60, 8 Dy 3.53-3.63
Th 0.1686 0.1635 0.4994  6 Th 3.50-3.60, 6 Dy 3.52-3.61
Th 0.8314 0.8365 0.5006  6 Th 3.50-3.60, 6 Dy 3.52-3.61
Th 0.0000 0.0000 0.0000  10 Dy 3.53-3.57, 2 Th 3.60
Th 0.3042 0.6455 0.7462  4 Th 3.50-3.60, 8 Dy 3.53-3.63

Output
**DOS(E_F)**: 1.301 states/eV per atom
**ΔE_f**: 0.41 eV/f.u.
**Symmetry**: C2/m (12)
**Crystal system**: monoclinic

Record 7
This record from Alexandria via LeMat-Bulk describes a relaxed structure of Dy5Th. The functional is GGA-PBE.

Cell: 5.0331 5.0236 7.9232 Å, 108.48 90.00 90.00°
Last column: nearest neighbours and their distance in Å.
Sites, in units of the cell vectors:
Dy 0.0000 0.3343 0.6685  2 Th 3.54, 10 Dy 3.54-3.59
Dy 0.5000 0.1638 0.3276  10 Dy 3.52-3.61, 2 Th 3.52
Dy 0.5000 0.5000 0.0000  8 Dy 3.52-3.54, 4 Th 3.56
Dy 0.0000 0.6657 0.3315  2 Th 3.54, 10 Dy 3.54-3.59
Dy 0.5000 0.8362 0.6724  10 Dy 3.52-3.61, 2 Th 3.52
Th 0.0000 0.0000 0.0000  12 Dy 3.52-3.56

Output
**DOS(E_F)**: 1.530 states/eV per atom
**ΔE_f**: 0.21 eV/f.u.
**Symmetry**: Cmmm (65)
**Crystal system**: orthorhombic
**Energy above the lowest structure with this stoichiometry**: 10.9 meV per atom

Record 8
This record from Alexandria via LeMat-Bulk describes a relaxed structure of Dy8Th3. The functional is GGA-PBE.

Cell: 7.7773 7.7772 7.7772 Å, 108.37 108.37 108.38°
Last column: nearest neighbours and their distance in Å.
Sites, in units of the cell vectors:
Dy 0.0062 0.6877 0.1699  6 Dy 3.18-3.55, 3 Th 3.34-3.36
Dy 0.7428 0.7428 0.7428  6 Dy 3.55-3.96, 3 Th 3.69
Dy 0.8301 0.9938 0.3123  6 Dy 3.18-3.55, 3 Th 3.34-3.36
Dy 0.9938 0.3123 0.8301  6 Dy 3.18-3.55, 3 Th 3.34-3.36
Dy 0.3123 0.8301 0.9938  6 Dy 3.18-3.55, 3 Th 3.34-3.36
Dy 0.1699 0.0062 0.6877  6 Dy 3.18-3.55, 3 Th 3.34-3.36
Dy 0.2572 0.2572 0.2572  6 Dy 3.55-3.96, 3 Th 3.69
Dy 0.6877 0.1699 0.0062  6 Dy 3.18-3.55, 3 Th 3.34-3.36
Th 0.5000 0.0000 0.5000  8 Dy 3.34-3.69
Th 0.5000 0.5000 0.0000  8 Dy 3.34-3.69
Th 0.0000 0.5000 0.5000  8 Dy 3.34-3.69

Output
**DOS(E_F)**: 1.780 states/eV per atom
**ΔE_f**: 5.23 eV/f.u.
**Symmetry**: R-3 (148)
**Crystal system**: trigonal
**Energy above the lowest structure with this stoichiometry**: 0.0 meV per atom

Record 9
This record from Alexandria via LeMat-Bulk describes a relaxed structure of Dy4Th5. The functional is GGA-PBE.

Cell: 7.9627 6.1434 8.7434 Å, 90.00 43.13 97.35°
Last column: nearest neighbours and their distance in Å.
Sites, in units of the cell vectors:
Th 0.6658 0.1051 0.5566  6 Dy 3.52-3.59, 6 Th 3.53-3.58
Th 0.3342 0.8949 0.4434  6 Dy 3.52-3.59, 6 Th 3.53-3.58
Th 0.0000 0.0000 0.0000  6 Dy 3.55-3.56, 6 Th 3.55-3.57
Th 0.3352 0.2176 0.1091  6 Th 3.49-3.60, 6 Dy 3.53-3.59
Th 0.6648 0.7824 0.8909  6 Th 3.49-3.60, 6 Dy 3.53-3.59
Dy 0.9999 0.3332 0.6672  8 Th 3.52-3.59, 4 Dy 3.56-3.57
Dy 0.3329 0.5558 0.7790  7 Th 3.52-3.59, 5 Dy 3.56-3.59
Dy 0.6671 0.4442 0.2210  7 Th 3.52-3.59, 5 Dy 3.56-3.59
Dy 0.0001 0.6668 0.3328  8 Th 3.52-3.59, 4 Dy 3.56-3.57

Output
**DOS(E_F)**: 1.484 states/eV per atom
**ΔE_f**: 0.39 eV/f.u.
**Symmetry**: P-1 (2)
**Crystal system**: triclinic

Record 10
This record from Alexandria via LeMat-Bulk describes a relaxed structure of DyTh. The functional is GGA-PBE.

Cell: 3.5723 3.5723 11.7776 Å, 81.28 81.28 60.00°
Last column: nearest neighbours and their distance in Å.
Sites, in units of the cell vectors:
Th 0.6257 0.6257 0.1228  9 Th 3.52-3.57, 3 Dy 3.56
Th 0.3743 0.3743 0.8772  9 Th 3.52-3.57, 3 Dy 3.56
Dy 0.1242 0.1242 0.6274  3 Th 3.56, 9 Dy 3.57-3.60
Dy 0.8758 0.8758 0.3726  3 Th 3.56, 9 Dy 3.57-3.60

Output
**DOS(E_F)**: 1.550 states/eV per atom
**ΔE_f**: 0.04 eV/f.u.
**Symmetry**: R-3m (166)
**Crystal system**: trigonal
**Energy above the lowest structure with this stoichiometry**: 0.0 meV per atom

Record 11
This record from Alexandria via LeMat-Bulk describes a relaxed structure of Dy2Th3. The functional is GGA-PBE.

Cell: 5.5955 9.6246 12.1361 Å, 66.64 71.31 36.11°
Last column: nearest neighbours and their distance in Å.
Sites, in units of the cell vectors:
Th 0.0143 0.4323 0.7724  1 Dy 3.15, 2 Th 3.37-3.38
Th 0.9857 0.5677 0.2276  1 Dy 3.15, 2 Th 3.37-3.38
Th 0.0143 0.2047 0.2276  1 Dy 3.15, 2 Th 3.37-3.38
Th 0.4699 0.7135 0.0000  2 Dy 3.31, 6 Th 3.35-3.66
Th 0.9857 0.7953 0.7724  1 Dy 3.15, 2 Th 3.37-3.38
Th 0.5301 0.2865 0.0000  2 Dy 3.31, 6 Th 3.35-3.66
Dy 0.5000 0.0000 0.5000  4 Dy 3.18-3.31
Dy 0.0000 0.1283 0.7434  4 Th 3.15-3.31, 2 Dy 3.18
Dy 0.5000 0.5000 0.5000  4 Dy 3.18-3.31
Dy 0.0000 0.8717 0.2566  4 Th 3.15-3.31, 2 Dy 3.18

Output
**DOS(E_F)**: 1.558 states/eV per atom
**ΔE_f**: 2.35 eV/f.u.
**Symmetry**: C2/m (12)
**Crystal system**: monoclinic
**Energy above the lowest structure with this stoichiometry**: 106.5 meV per atom

Record 12
This record from Alexandria via LeMat-Bulk describes a relaxed structure of Dy3Th8. The functional is GGA-PBE.

Cell: 3.5680 3.5680 31.9084 Å, 86.79 86.79 60.00°
Last column: nearest neighbours and their distance in Å.
Sites, in units of the cell vectors:
Dy 0.2733 0.2733 0.1801  6 Th 3.53-3.60, 6 Dy 3.57
Dy 0.7267 0.7267 0.8199  6 Th 3.53-3.60, 6 Dy 3.57
Dy 0.0000 0.0000 0.0000  6 Th 3.53, 6 Dy 3.57
Th 0.1819 0.1819 0.4543  12 Th 3.56-3.57
Th 0.5457 0.5457 0.3630  12 Th 3.54-3.57
Th 0.4543 0.4543 0.6370  12 Th 3.54-3.57
Th 0.8181 0.8181 0.5457  12 Th 3.56-3.57
Th 0.9091 0.9091 0.2727  9 Th 3.54-3.57, 3 Dy 3.60
Th 0.6366 0.6366 0.0902  6 Dy 3.53, 6 Th 3.57
Th 0.3634 0.3634 0.9098  6 Dy 3.53, 6 Th 3.57
Th 0.0909 0.0909 0.7273  9 Th 3.54-3.57, 3 Dy 3.60

Output
**DOS(E_F)**: 1.466 states/eV per atom
**ΔE_f**: 0.20 eV/f.u.
**Symmetry**: R-3m (166)
**Crystal system**: trigonal

Across the entries above, V takes the values 24.632 28.379 28.658 31.689 31.791 32.022 31.667 34.192 31.918 32.038 35.357 31.914 Å³/atom, respectively.